# Os2PtW

An optimized crystal structure of Os2PtW (GGA-PBE, Alexandria).

Values from the calculation:
M_tot (μB per formula unit): 0.0
Calculated formation energy (meV/atom): 285
Total energy (eV for the cell shown): -40.3
Density (g cm⁻³): 20.57

a b c (Å): 3.294 3.294 5.648
angles (deg): 90.00 90.00 90.00
Sites, in units of the cell vectors:
Os: 0.000 0.000 0.250
Os: 0.000 0.000 0.750
Pt: 0.500 0.500 0.000
W: 0.500 0.500 0.500



# OsPtW2

An optimized crystal structure of OsPtW2 (GGA-PBE, Alexandria).

Values from the calculation:
M_tot (μB per formula unit): 0.0
Calculated formation energy (meV/atom): -102
Total energy (eV for the cell shown): -43.6
Density (g cm⁻³): 20.32

a b c (Å): 2.807 4.501 4.870
angles (deg): 90.00 90.00 90.00
Sites, in units of the cell vectors:
Os: 0.000 0.000 0.000
Pt: 0.000 0.500 0.649
W: 0.500 0.000 0.493
W: 0.500 0.500 0.150



> Which value of total energy does entry 1 give?

-40.3 eV for the cell shown